1.
# PmPr2SmEr2

A relaxed PmPr2SmEr2 crystal (GGA-PBE, Alexandria).

Properties
- E: -0.1700 Ha/atom
- Spin magnetization: 0.0 μB per formula unit
- N(E_F): 18.56 states/eV/cell

```
12
Lattice="5.734 0.000 0.000 0.000 7.065 0.000 0.000 0.000 9.926" Properties=species:S:1:pos:R:3 pbc="T T T"
Er 0.000 1.820 8.275
Pm 0.000 3.585 4.965
Pr 0.000 1.822 1.683
Sm 2.867 5.350 3.328
Er 0.000 5.353 1.652
Pr 2.867 0.054 0.003
Er 2.867 1.819 3.316
Sm 2.867 1.818 6.598
Pr 2.867 3.587 9.924
Pr 0.000 5.355 8.243
Pm 0.000 0.053 4.961
Er 2.867 5.351 6.610
```


2.
# ScSbTe2N

A relaxed ScSbTe2N crystal (GGA-PBE, Alexandria).

Properties
- Distance to the lowest polymorph of the same formula: 4.06 eV per formula unit
- E: -0.1503 Ha/atom
- Spin magnetization: 2.5 μB per formula unit
- N(E_F): 5.50 states/eV/cell
- E_form (uncorrected): 4.617 eV per formula unit

```
5
Lattice="5.529 0.000 0.000 0.000 5.529 0.000 0.000 0.000 5.561" Properties=species:S:1:pos:R:3 pbc="T T T"
N 2.765 2.765 2.780
Sc 0.000 0.000 0.000
Te 0.000 2.765 0.000
Sb 0.000 0.000 2.780
Te 2.765 0.000 0.000
```


3.
# Ce2VGa

A relaxed Ce2VGa crystal (GGA-PBE, Alexandria).

Properties
- Distance to the lowest polymorph of the same formula: 1.14 eV per formula unit
- E: -0.2124 Ha/atom
- Spin magnetization: 0.8 μB per formula unit
- N(E_F): 7.71 states/eV/cell

```
4
Lattice="2.984 0.000 0.000 1.492 2.584 0.000 1.492 0.861 10.577" Properties=species:S:1:pos:R:3 pbc="T T T"
Ce 1.492 0.861 7.986
Ga 2.984 1.723 5.289
V 0.000 0.000 0.000
Ce 4.475 2.584 2.591
```


Among the records above, which one has the highest E?
ScSbTe2N